Material: AcPaTc2
Method: DFT, PBE
State: optimized geometry

## Properties
Theoretical density in g/cm³: 11.63
Electronic total energy in eV per atom: -8.299
ΔE to the lowest computed polymorph in eV/atom: 0.239

Cell: 3.4872 3.4872 26.6086 Å, 90.00 90.00 120.00°
Space group R-3m (No. 166, hexagonal axes)
Asymmetric unit:
Ac  0.0000  0.0000  0.0000 (multiplicity 3)
Pa  0.0000  0.0000  0.5000 (multiplicity 3)
Tc  0.0000  0.0000  0.2345 (multiplicity 6)